Here is crystalline ScMoRu2 at its relaxed geometry from Alexandria via LeMat-Bulk. Energies are from PBE.

## Properties
uncorrected energy	-9.18	eV/atom
space group	No. 123

Cell: 3.0914 3.0914 6.5492 Å, 90.00 90.00 90.00°
Last column: nearest neighbours and their distance in Å.
Fractional positions:
Sc 0.0000 0.0000 0.0000  8 Ru 2.76
Mo 0.0000 0.0000 0.5000  8 Ru 2.70
Ru 0.5000 0.5000 0.2567  4 Mo 2.70, 4 Sc 2.76
Ru 0.5000 0.5000 0.7433  4 Mo 2.70, 4 Sc 2.76